# 1
This record from Alexandria via LeMat-Bulk describes a relaxed BeCdSb2 crystal. The functional is GGA-PBE.

Unit cell a=4.745 b=4.745 c=4.009 alpha=90.00 beta=90.00 gamma=90.00
Space group P4/mmm (No. 123)
Asymmetric unit:
Be 0.000 0.000 0.000 (multiplicity 1)
Cd 0.500 0.500 0.000 (multiplicity 1)
Sb 0.000 0.500 0.500 (multiplicity 2)

Summary:
As for the magnetization: 0.0 μB/f.u. The total energy comes out at -2.680 eV per atom.


# 2
This record from Alexandria via LeMat-Bulk describes a relaxed Be2CdSb crystal. The functional is GGA-PBE.

Unit cell a=3.2632 b=3.2632 c=22.4066 alpha=90.00 beta=90.00 gamma=120.00
Space group R-3m (No. 166, hexagonal axes)
Asymmetric unit:
Be 0.0000 0.0000 0.2501 (multiplicity 6)
Cd 0.0000 0.0000 0.0000 (multiplicity 3)
Sb 0.0000 0.0000 0.5000 (multiplicity 3)

Summary:
As for the magnetization: 0.0 μB/f.u. The total energy comes out at -2.565 eV per atom.


# 3
This record from Alexandria via LeMat-Bulk describes a relaxed BeCdSb2 crystal. The functional is GGA-PBE.

Unit cell a=4.247 b=3.921 c=5.973 alpha=90.00 beta=109.70 gamma=90.00
Space group Pm (No. 6)
Asymmetric unit:
Be 0.000 0.000 0.000 (multiplicity 1)
Cd 0.432 0.500 0.861 (multiplicity 1)
Sb 0.132 0.500 0.265 (multiplicity 1)
Sb 0.777 0.000 0.571 (multiplicity 1)

Summary:
As for the magnetization: 0.0 μB/f.u. The total energy comes out at -2.914 eV per atom.


# 4
This record from Alexandria via LeMat-Bulk describes a relaxed BeCd2Sb crystal. The functional is GGA-PBE.

Unit cell a=4.157 b=4.274 c=5.105 alpha=90.00 beta=107.11 gamma=90.00
Space group P2/m (No. 10)
Asymmetric unit:
Be 0.000 0.000 0.000 (multiplicity 1)
Cd 0.176 0.500 0.787 (multiplicity 2)
Sb 0.500 0.000 0.500 (multiplicity 1)

Summary:
As for the magnetization: 0.0 μB/f.u. The total energy comes out at -2.049 eV per atom.